# Sm3Dy2Hg3

A geometry-optimized Sm3Dy2Hg3 structure (PBE-GGA, the Alexandria database).

Energy relative to the elements, kJ/mol of formula units: -275
Final energy, hartree per atom: -0.1245

Cell: 3.761 5.413 22.310 Å, 90.00 90.00 90.00°
Space group Immm (No. 71)
Unique sites:
Sm1 0.000 0.000 0.000 [2 per cell]
Sm2 0.000 0.500 0.122 [4 per cell]
Dy1 0.000 0.000 0.233 [4 per cell]
Hg1 0.000 0.000 0.500 [2 per cell]
Hg2 0.000 0.500 0.379 [4 per cell]